1.
Computed, not measured: RbNa2Ge17 after structural relaxation at the GGA-PBEsol level of DFT.

- ΔE_f (eV/f.u.) = -1.610
- ρ (g cm⁻³) = 4.89
- VASP energy (eV/f.u.) = -89.4

a b c (Å): 15.479 15.479 15.479
angles (deg): 90.00 90.00 90.00
Space group Fd-3m (No. 227, origin choice 2)
One atom of each set of equivalent atoms:
Rb  0.125  0.125  0.125 x8
Na  0.000  0.000  0.500 x16
Ge  0.032  0.032  0.718 x32
Ge  0.068  0.068  0.871 x96
Ge  0.125  0.125  0.625 x8

2.
Computed, not measured: Rb3NaGe after structural relaxation at the GGA-PBEsol level of DFT.

- ΔE_f (eV/f.u.) = 1.144
- ρ (g cm⁻³) = 1.84
- VASP energy (eV/f.u.) = -8.3

a b c (Å): 6.819 6.819 6.819
angles (deg): 90.00 90.00 90.00
Space group Pm-3m (No. 221)
One atom of each set of equivalent atoms:
Rb  0.000  0.000  0.500 x3
Na  0.500  0.500  0.500 x1
Ge  0.000  0.000  0.000 x1

- The lowest ΔE_f belongs to which entry?
  RbNa2Ge17

- Which of these has the highest VASP energy?
  Rb3NaGe